Computed, not measured: a geometry-optimized YCo2Cl structure at the PBEsol level of DFT.

```
YCo2Cl
1.0
-1.7934 2.5388 3.6420
1.7934 -2.5388 3.6420
1.7934 2.5388 -3.6420
Y Co Cl
1 2 1
Direct
0.0000 0.0000 0.0000
0.3105 0.8105 0.5000
0.4790 0.4790 0.0000
0.6922 0.1922 0.5000
```

Calculated values
Space group ... No. 44
Formation energy (no corrections) ... -0.081 eV per formula unit
Density of states at the Fermi level ... 0.5172 states/eV/atom

***

Computed, not measured: a geometry-optimized SrSb5 structure at the PBEsol level of DFT.

```
SrSb5
1.0
6.6569 -2.2032 0.0000
6.6569 2.2032 0.0000
-2.7134 0.0000 6.0134
Sr Sb
1 5
Direct
0.0000 0.0000 0.0000
0.0000 0.0000 0.5000
0.3295 0.3295 0.1115
0.3386 0.3386 0.5582
0.6614 0.6614 0.4418
0.6705 0.6705 0.8885
```

Calculated values
Space group ... No. 12
Formation energy (no corrections) ... -1.687 eV per formula unit
Density of states at the Fermi level ... 0.4405 states/eV/atom

***

Computed, not measured: a geometry-optimized ReH2S structure at the PBEsol level of DFT.

```
ReH2S
1.0
0.0000 2.5643 2.5643
2.5643 0.0000 2.5643
2.5643 2.5643 0.0000
Re H S
1 2 1
Direct
0.0000 0.0000 0.0000
0.2500 0.2500 0.2500
0.7500 0.7500 0.7500
0.5000 0.5000 0.5000
```

Calculated values
Space group ... No. 225
Calculated total energy ... -4.9446 eV/atom
Density of states at the Fermi level ... 0.7913 states/eV/atom

***

Computed, not measured: a geometry-optimized BaIr2W structure at the PBEsol level of DFT.

```
BaIr2W
1.0
0.0000 3.3528 3.3528
3.3528 0.0000 3.3528
3.3528 3.3528 0.0000
Ba Ir W
1 2 1
Direct
0.0000 0.0000 0.0000
0.2500 0.2500 0.2500
0.7500 0.7500 0.7500
0.5000 0.5000 0.5000
```

Calculated values
Energy of formation ... 1063 meV/atom
Space group ... No. 225
Density of states at the Fermi level ... 0.9825 states/eV/atom

***

Computed, not measured: a geometry-optimized Na2PbSe2 structure at the PBEsol level of DFT.

```
Na2PbSe2
1.0
-2.0677 2.0677 7.2019
2.0677 -2.0677 7.2019
2.0677 2.0677 -7.2019
Na Pb Se
2 1 2
Direct
0.2500 0.7500 0.5000
0.7500 0.2500 0.5000
0.0000 0.0000 0.0000
0.3847 0.3847 0.0000
0.6153 0.6153 0.0000
```

Calculated values
Space group ... No. 139
Formation energy (no corrections) ... -2.916 eV per formula unit

***

Computed, not measured: a geometry-optimized MnNbCl2 structure at the PBEsol level of DFT.

```
MnNbCl2
1.0
1.5426 0.8906 9.0698
-1.5426 0.8906 9.0698
0.0000 -1.7813 9.0698
Mn Nb Cl
1 1 2
Direct
0.0000 0.0000 0.0000
0.5000 0.5000 0.5000
0.1007 0.1007 0.1007
0.8993 0.8993 0.8993
```

Calculated values
Space group ... No. 166
Formation energy (no corrections) ... -0.812 eV per formula unit
Density of states at the Fermi level ... 0.6440 states/eV/atom

***

Computed, not measured: a geometry-optimized Dy2P4O13 structure at the PBEsol level of DFT.

```
Dy2P4O13
1.0
5.8936 -3.3619 0.0000
5.8936 3.3619 0.0000
-3.6946 0.0000 12.3123
Dy P O
4 8 26
Direct
0.1876 0.1933 0.0478
0.1933 0.1876 0.5478
0.8067 0.8124 0.4522
0.8124 0.8067 0.9522
0.2512 0.2725 0.3381
0.2725 0.2512 0.8381
0.3316 0.6463 0.1335
0.3537 0.6684 0.3665
0.6463 0.3316 0.6335
0.6684 0.3537 0.8665
0.7275 0.7488 0.1619
0.7488 0.7275 0.6619
0.0503 0.4211 0.4039
0.0745 0.4214 0.9035
0.1655 0.8240 0.0577
0.1760 0.8345 0.4423
0.1874 0.1998 0.2199
0.1998 0.1874 0.7199
0.2445 0.7555 0.2500
0.3714 0.4037 0.1011
0.3818 0.4169 0.3446
0.4037 0.3714 0.6011
0.4169 0.3818 0.8446
0.4211 0.0503 0.9039
0.4214 0.0745 0.4035
0.5786 0.9255 0.5965
0.5789 0.9497 0.0961
0.5831 0.6182 0.1554
0.5963 0.6286 0.3989
0.6182 0.5831 0.6554
0.6286 0.5963 0.8989
0.7555 0.2445 0.7500
0.8002 0.8126 0.2801
0.8126 0.8002 0.7801
0.8240 0.1655 0.5577
0.8345 0.1760 0.9423
0.9255 0.5786 0.0965
0.9497 0.5789 0.5961
```

Calculated values
Space group ... No. 15
Formation energy (no corrections) ... -51.215 eV per formula unit
Density of states at the Fermi level ... 0.0000 states/eV/atom

***

Computed, not measured: a geometry-optimized NbAlTe2Rh structure at the PBEsol level of DFT.

```
NbAlTe2Rh
1.0
5.1579 0.0000 0.0000
0.0000 5.1579 0.0000
0.0000 0.0000 4.8148
Nb Al Te Rh
1 1 2 1
Direct
0.0000 0.0000 0.0000
0.5000 0.5000 0.0000
0.0000 0.5000 0.5000
0.5000 0.0000 0.5000
0.0000 0.0000 0.5000
```

Calculated values
Space group ... No. 123
Formation energy (no corrections) ... 3.723 eV per formula unit
Density of states at the Fermi level ... 0.9658 states/eV/atom

***

Computed, not measured: a geometry-optimized LiTl2As structure at the PBEsol level of DFT.

```
LiTl2As
1.0
-1.6321 2.1761 7.0208
1.6321 -2.1761 7.0208
1.6321 2.1761 -7.0208
Li Tl As
1 2 1
Direct
0.0000 0.0000 0.0000
0.3191 0.8191 0.5000
0.6809 0.1809 0.5000
0.5000 0.5000 0.0000
```

Calculated values
Energy of formation ... -134 meV/atom
Space group ... No. 71
Density of states at the Fermi level ... 0.3365 states/eV/atom

***

Computed, not measured: a geometry-optimized BAsO4 structure at the PBEsol level of DFT.

```
BAsO4
1.0
-2.2620 2.2620 3.3995
2.2620 -2.2620 3.3995
2.2620 2.2620 -3.3995
B As O
1 1 4
Direct
0.0000 0.0000 0.0000
0.2500 0.7500 0.5000
0.1055 0.7226 0.0618
0.2774 0.3391 0.3829
0.6609 0.0438 0.9382
0.9562 0.8945 0.6171
```

Calculated values
Space group ... No. 82
Formation energy (no corrections) ... -10.138 eV per formula unit
Density of states at the Fermi level ... 0.0000 states/eV/atom

***

| no. | calculated volume (Å³ per atom) | theoretical density (g cm⁻³) |
| --- | --- | --- |
| 1 | 16.582 | 6.1 |
| 2 | 29.399 | 6.6 |
| 3 | 8.431 | 10.8 |
| 4 | 18.845 | 15.5 |
| 5 | 24.632 | 5.5 |
| 6 | 18.692 | 4.9 |
| 7 | 12.840 | 4.5 |
| 8 | 25.619 | 6.2 |
| 9 | 24.935 | 8.2 |
| 10 | 11.596 | 3.6 |